VASP calculation (PBE with a Hubbard U) on Ni2PdWO6 after structural relaxation.

The structure in CIF format:
```
data_Ni2PdWO6
_cell_length_a 4.9280
_cell_length_b 5.3750
_cell_length_c 5.4995
_cell_angle_alpha 112.07
_cell_angle_beta 115.97
_cell_angle_gamma 91.43
_space_group_name_H-M_alt 'P 1'
_space_group_IT_number 1
loop_
_space_group_symop_operation_xyz
'x,y,z'
loop_
_atom_site_label
_atom_site_type_symbol
_atom_site_fract_x
_atom_site_fract_y
_atom_site_fract_z
Ni1 Ni 0.0000 0.0000 0.0000
Ni2 Ni 0.4778 0.5041 0.0168
Pd1 Pd 0.7699 0.4012 0.5850
W1 W 0.2704 0.8973 0.5659
O1 O 0.0778 0.1931 0.7706
O2 O 0.1714 0.6957 0.7743
O3 O 0.3688 0.1307 0.4049
O4 O 0.4881 0.6376 0.4277
O5 O 0.6239 0.1357 0.9473
O6 O 0.8900 0.7596 0.2082
```

**Energy**: -59.4 eV per cell
**Magnetic moment**: 0.398 μB per atom